Entry w
! La7Dy2Tm (PBE, relaxed); values from VASP
&SYSTEM
  ibrav = 0, nat = 10, ntyp = 3
/
ATOMIC_SPECIES
La 138.91 La.upf
Dy 162.50 Dy.upf
Tm 168.93 Tm.upf
CELL_PARAMETERS angstrom
3.524 0.193 1.056
-1.194 11.249 -4.493
2.759 -2.200 10.484
ATOMIC_POSITIONS crystal
La 0.494 0.706 0.907
La 0.994 0.807 0.607
La 0.006 0.193 0.393
La 0.002 0.397 0.798
La 0.500 0.500 0.500
La 0.998 0.603 0.202
La 0.506 0.294 0.093
Dy 0.491 0.903 0.306
Dy 0.509 0.097 0.694
Tm 0.000 0.000 0.000
! calculated volume = 350.8 Å³/f.u.
! space group = P-1, No. 2

***

Entry x
! La7Dy2Tm (PBE, relaxed); values from VASP
&SYSTEM
  ibrav = 0, nat = 10, ntyp = 3
/
ATOMIC_SPECIES
Tm 168.93 Tm.upf
La 138.91 La.upf
Dy 162.50 Dy.upf
CELL_PARAMETERS angstrom
-1.488 4.741 2.886
-8.651 -0.440 -3.738
2.535 -4.131 8.093
ATOMIC_POSITIONS crystal
Tm 0.000 0.000 0.000
La 0.500 0.069 0.293
La 0.500 0.500 0.500
La 0.000 0.226 0.774
La 0.500 0.293 0.069
La 0.000 0.774 0.226
La 0.500 0.931 0.707
La 0.500 0.707 0.931
Dy 0.500 0.293 0.707
Dy 0.500 0.707 0.293
! calculated volume = 421.6 Å³/f.u.
! space group = Cmmm, No. 65

***

Which structure is the most stable? The one labeled entry w.

***

Entry w
! La4Dy3Tm (PBE, relaxed); values from VASP
&SYSTEM
  ibrav = 0, nat = 8, ntyp = 3
/
ATOMIC_SPECIES
Tm 168.93 Tm.upf
Dy 162.50 Dy.upf
La 138.91 La.upf
CELL_PARAMETERS angstrom
3.399 0.000 -0.429
0.048 6.801 0.382
-0.223 2.645 11.919
ATOMIC_POSITIONS crystal
Tm 0.500 0.000 0.000
Dy 0.122 0.640 0.243
Dy 0.878 0.360 0.757
Dy 0.000 0.500 0.000
La 0.124 0.127 0.248
La 0.258 0.733 0.517
La 0.876 0.873 0.752
La 0.742 0.267 0.483
! calculated volume = 271.4 Å³/f.u.
! space group = C2/m, No. 12

***

Entry x
! La4Dy3Tm (PBE, relaxed); values from VASP
&SYSTEM
  ibrav = 0, nat = 8, ntyp = 3
/
ATOMIC_SPECIES
Dy 162.50 Dy.upf
La 138.91 La.upf
Tm 168.93 Tm.upf
CELL_PARAMETERS angstrom
3.662 0.000 0.000
0.000 6.232 0.815
-1.831 1.561 12.066
ATOMIC_POSITIONS crystal
Dy 0.122 0.046 0.243
Dy 0.000 0.500 0.000
Dy 0.878 0.954 0.757
La 0.377 0.457 0.754
La 0.252 0.244 0.504
La 0.623 0.543 0.246
La 0.748 0.756 0.496
Tm 0.500 0.000 0.000
! calculated volume = 270.7 Å³/f.u.
! space group = C2/m, No. 12

***

Which structure is the most stable? The one labeled entry x.

***

Entry w
! LaDy7Tm4 (PBE, relaxed); values from VASP
&SYSTEM
  ibrav = 0, nat = 12, ntyp = 3
/
ATOMIC_SPECIES
Dy 162.50 Dy.upf
Tm 168.93 Tm.upf
La 138.91 La.upf
CELL_PARAMETERS angstrom
3.542 0.000 0.000
-1.771 3.067 0.000
0.000 0.000 34.639
ATOMIC_POSITIONS crystal
Dy 0.000 0.000 0.752
Dy 0.667 0.333 0.835
Dy 0.333 0.667 0.413
Dy 0.000 0.000 0.000
Dy 0.333 0.667 0.165
Dy 0.667 0.333 0.587
Dy 0.000 0.000 0.248
Tm 0.667 0.333 0.082
Tm 0.333 0.667 0.918
Tm 0.667 0.333 0.330
Tm 0.333 0.667 0.670
La 0.000 0.000 0.500
! calculated volume = 376.4 Å³/f.u.
! space group = P-3m1, No. 164

***

Entry x
! LaDy7Tm4 (PBE, relaxed); values from VASP
&SYSTEM
  ibrav = 0, nat = 12, ntyp = 3
/
ATOMIC_SPECIES
Dy 162.50 Dy.upf
Tm 168.93 Tm.upf
La 138.91 La.upf
CELL_PARAMETERS angstrom
6.340 -1.864 2.717
0.725 5.716 2.223
2.772 -2.302 10.747
ATOMIC_POSITIONS crystal
Dy 0.916 0.721 0.337
Dy 0.084 0.279 0.663
Dy 0.500 0.000 0.000
Dy 0.664 0.224 0.336
Dy 0.747 0.500 0.000
Dy 0.336 0.776 0.664
Dy 0.253 0.500 0.000
Tm 0.589 0.278 0.664
Tm 0.411 0.722 0.336
Tm 0.165 0.220 0.335
Tm 0.835 0.780 0.665
La 0.000 0.000 0.000
! calculated volume = 377.3 Å³/f.u.
! space group = P-1, No. 2

***

Which structure is the most stable? The one labeled entry x.

***

Entry w
! La5Dy2Tm (PBE, relaxed); values from VASP
&SYSTEM
  ibrav = 0, nat = 16, ntyp = 3
/
ATOMIC_SPECIES
La 138.91 La.upf
Dy 162.50 Dy.upf
Tm 168.93 Tm.upf
CELL_PARAMETERS angstrom
-0.933 -1.301 -5.444
-3.248 -3.833 4.430
-12.778 10.470 -0.310
ATOMIC_POSITIONS crystal
La 0.386 0.772 0.447
La 0.923 0.846 0.906
La 0.077 0.154 0.406
La 0.386 0.772 0.053
La 0.923 0.846 0.594
La 0.469 0.939 0.750
La 0.614 0.228 0.553
La 0.531 0.061 0.250
La 0.614 0.228 0.947
La 0.077 0.154 0.094
Dy 0.774 0.548 0.363
Dy 0.226 0.452 0.863
Dy 0.226 0.452 0.637
Dy 0.774 0.548 0.137
Tm 0.251 0.502 0.250
Tm 0.749 0.498 0.750
! calculated volume = 284.5 Å³/f.u.
! space group = Cmcm, No. 63

***

Entry x
! La5Dy2Tm (PBE, relaxed); values from VASP
&SYSTEM
  ibrav = 0, nat = 16, ntyp = 3
/
ATOMIC_SPECIES
La 138.91 La.upf
Tm 168.93 Tm.upf
Dy 162.50 Dy.upf
CELL_PARAMETERS angstrom
-5.010 0.563 -2.811
-0.251 -7.556 4.861
-4.364 5.911 8.962
ATOMIC_POSITIONS crystal
La 0.952 0.904 0.614
La 0.589 0.178 0.914
La 0.048 0.096 0.114
La 0.589 0.178 0.586
La 0.411 0.822 0.414
La 0.952 0.904 0.886
La 0.048 0.096 0.386
La 0.411 0.822 0.086
La 0.612 0.223 0.250
La 0.388 0.777 0.750
Tm 0.230 0.460 0.250
Tm 0.770 0.540 0.750
Dy 0.784 0.568 0.083
Dy 0.216 0.432 0.917
Dy 0.216 0.432 0.583
Dy 0.784 0.568 0.417
! calculated volume = 284.7 Å³/f.u.
! space group = Cmcm, No. 63

***

Which structure is the most stable? The one labeled entry w.

***

Entry w
! La2Dy2Tm (PBE, relaxed); values from VASP
&SYSTEM
  ibrav = 0, nat = 10, ntyp = 3
/
ATOMIC_SPECIES
La 138.91 La.upf
Dy 162.50 Dy.upf
Tm 168.93 Tm.upf
CELL_PARAMETERS angstrom
6.387 0.000 0.000
-3.194 5.509 -2.524
0.000 0.667 9.335
ATOMIC_POSITIONS crystal
La 0.532 0.397 0.650
La 0.135 0.603 0.850
La 0.468 0.603 0.350
La 0.865 0.397 0.150
Dy 0.263 0.195 0.949
Dy 0.068 0.805 0.551
Dy 0.932 0.195 0.449
Dy 0.737 0.805 0.051
Tm 0.331 0.000 0.250
Tm 0.669 0.000 0.750
! calculated volume = 169.6 Å³/f.u.
! space group = C2/c, No. 15

***

Entry x
! La2Dy2Tm (PBE, relaxed); values from VASP
&SYSTEM
  ibrav = 0, nat = 10, ntyp = 3
/
ATOMIC_SPECIES
La 138.91 La.upf
Tm 168.93 Tm.upf
Dy 162.50 Dy.upf
CELL_PARAMETERS angstrom
-1.062 3.511 4.361
-3.497 -0.495 -0.453
2.741 -14.239 8.409
ATOMIC_POSITIONS crystal
La 0.458 0.708 0.916
La 0.935 0.185 0.871
La 0.542 0.292 0.084
La 0.065 0.815 0.129
Tm 0.177 0.427 0.355
Tm 0.823 0.573 0.645
Dy 0.633 0.883 0.267
Dy 0.271 0.021 0.542
Dy 0.367 0.117 0.733
Dy 0.729 0.979 0.458
! calculated volume = 166.6 Å³/f.u.
! space group = Imma, No. 74

***

Which structure is the most stable? The one labeled entry w.